Entry 1:
Entry from Alexandria: a relaxed Ca8SiSn2 crystal (PBE-GGA).

Summary:
**SG**: C2/m, No. 12
**VASP energy**: -3.0807 eV/atom
**Formation energy from raw total energies**: -0.4042 eV per atom
**Total magnetic moment**: 0.00 μB/cell

Geometry as extended XYZ:
```
11
Lattice="-1.196 4.840 1.750 -5.154 0.548 -5.037 -3.482 -6.256 6.946" Properties=species:S:1:pos:R:3 pbc="T T T"
Ca -3.566 1.933 0.195
Ca -6.740 1.780 -1.549
Si -0.598 2.420 0.875
Ca -6.607 0.581 1.856
Ca -3.091 -2.647 5.209
Sn -4.640 0.162 4.360
Ca -6.265 -2.801 3.465
Ca -3.225 -1.449 1.804
Ca -5.562 -1.119 7.270
Ca -4.269 0.251 -3.610
Sn -5.192 -1.029 -0.700
```

=====

Entry 2:
Entry from Alexandria: a relaxed Sc5Ga4Ni crystal (PBE-GGA).

Summary:
**SG**: P4/mmm, No. 123
**VASP energy**: -5.5380 eV/atom
**Formation enthalpy at 0 K**: -0.583 eV per atom
**Total magnetic moment**: 0.00 μB/cell

Geometry as extended XYZ:
```
10
Lattice="3.268 0.000 0.000 0.000 3.268 0.000 0.000 0.000 17.210" Properties=species:S:1:pos:R:3 pbc="T T T"
Ni 0.000 0.000 0.000
Sc 1.634 1.634 12.168
Sc 1.634 1.634 5.042
Ga 0.000 0.000 3.278
Sc 1.634 1.634 1.517
Ga 0.000 0.000 13.931
Sc 1.634 1.634 8.605
Ga 0.000 0.000 6.825
Ga 0.000 0.000 10.385
Sc 1.634 1.634 15.693
```

=====

Entry 3:
Entry from Alexandria: a relaxed Be2NbRh crystal (PBE-GGA).

Summary:
**SG**: P4/mmm, No. 123
**VASP energy**: -6.5963 eV/atom
**Formation enthalpy at 0 K**: -0.378 eV per atom
**Total magnetic moment**: 0.00 μB/cell

Geometry as extended XYZ:
```
4
Lattice="2.830 0.000 0.000 0.000 2.830 0.000 0.000 0.000 6.069" Properties=species:S:1:pos:R:3 pbc="T T T"
Be 0.000 0.000 1.221
Nb 1.415 1.415 3.034
Be 0.000 0.000 4.848
Rh 1.415 1.415 0.000
```

=====

Entry 4:
Entry from Alexandria: a relaxed LaCd4Se crystal (PBE-GGA).

Summary:
**SG**: F-43m, No. 216
**VASP energy**: -2.2099 eV/atom
**Formation energy from raw total energies**: -0.1978 eV per atom
**Total magnetic moment**: 0.00 μB/cell

Geometry as extended XYZ:
```
6
Lattice="0.000 4.254 4.254 4.254 0.000 4.254 4.254 4.254 0.000" Properties=species:S:1:pos:R:3 pbc="T T T"
Cd 5.324 5.324 3.185
Cd 3.185 5.324 5.324
Cd 3.185 3.185 3.185
Se 0.000 0.000 0.000
La 6.381 6.381 6.381
Cd 5.324 3.185 5.324
```

=====

Entry 5:
Entry from Alexandria: a relaxed NaTbDy crystal (PBE-GGA).

Summary:
**SG**: P4/nmm, No. 129
**VASP energy**: -3.2211 eV/atom
**Excess energy over the best structure of this formula in the dataset**: 160.0 meV/atom
**Formation enthalpy at 0 K**: 0.296 eV per atom
**Total magnetic moment**: 0.00 μB/cell

Geometry as extended XYZ:
```
6
Lattice="-2.277 -2.180 2.672 -2.164 -1.590 -3.141 7.612 -8.876 -0.753" Properties=species:S:1:pos:R:3 pbc="T T T"
Dy 3.282 -5.884 -2.002
Tb 4.476 -7.636 0.780
Na -2.221 -1.885 -0.234
Dy 2.109 -4.877 1.015
Tb 0.916 -3.124 -1.768
Na 0.000 0.000 0.000
```

=====

Entry 6:
Entry from Alexandria: a relaxed Li2CoOs crystal (PBE-GGA).

Summary:
**SG**: Immm, No. 71
**VASP energy**: -5.3950 eV/atom
**Excess energy over the best structure of this formula in the dataset**: 18.8 meV/atom
**Formation enthalpy at 0 K**: 0.146 eV per atom
**Total magnetic moment**: 1.52 μB/cell

Geometry as extended XYZ:
```
4
Lattice="5.182 -0.015 0.043 2.708 4.418 -0.043 -3.352 -3.264 2.228" Properties=species:S:1:pos:R:3 pbc="T T T"
Li 3.856 2.152 0.000
Li 0.089 0.050 0.000
Co 1.650 1.678 1.092
Os 2.887 -0.538 1.136
```